# 1
Density functional theory data (PBE-GGA) for crystalline GeRu2Pb at its relaxed geometry.

Crystal system ... cubic
Energy of formation ... 22.6 kJ/mol of atoms

abc: 4.5327 4.5327 4.5327
angles: 60.00 60.00 60.00
Sites, in units of the cell vectors:
Ge  0.0000  0.0000  0.0000
Ru  0.2500  0.2500  0.2500
Ru  0.7500  0.7500  0.7500
Pb  0.5000  0.5000  0.5000


# 2
Density functional theory data (PBE-GGA) for crystalline GeRu2Pb at its relaxed geometry.

Crystal system ... tetragonal
Energy of formation ... 83.1 kJ/mol of atoms

abc: 6.7469 6.7469 6.7469
angles: 126.65 126.65 78.82
Sites, in units of the cell vectors:
Ge  0.0000  0.0000  0.0000
Ge  0.7500  0.2500  0.5000
Ru  0.0838  0.6250  0.9588
Ru  0.3750  0.3338  0.4588
Ru  0.6662  0.1250  0.0412
Ru  0.8750  0.9162  0.5412
Pb  0.2500  0.7500  0.5000
Pb  0.5000  0.5000  0.0000